No. 1
## VTe2IN (PBE)

Data for an optimized crystal structure of VTe2IN.

a b c (Å): 5.572 5.572 3.688
angles (deg): 90.00 90.00 90.00
Fractional coordinates of all 5 atoms:
I (0.500, 0.500, 0.500)
Te (0.500, 0.000, 0.000)
N (0.000, 0.000, 0.500)
Te (0.000, 0.500, 0.000)
V (0.000, 0.000, 0.000)

**Energy relative to the elements, uncorrected**: 0.205 eV per atom
**Total energy**: -24.25 eV per cell
**Total moment**: 0.41 μB per cell
**V**: 114.5 Å³ per cell
**DOS(E_F)**: 2.2 states/eV per cell
**E above lowest polymorph**: 0.000 eV/atom

---

No. 2
## Mg3HIr5 (PBE)

Data for an optimized crystal structure of Mg3HIr5.

a b c (Å): 5.638 5.599 5.291
angles (deg): 104.50 74.32 60.02
Fractional coordinates of all 9 atoms:
Ir (0.924, 0.641, 0.976)
Ir (0.992, 0.228, 0.483)
Mg (0.938, 0.129, 0.981)
Mg (0.512, 0.727, 0.493)
Ir (0.994, 0.726, 0.473)
Ir (0.411, 0.152, 0.006)
H (0.677, 0.218, 0.771)
Ir (0.414, 0.657, 0.012)
Mg (0.479, 0.236, 0.497)

**Total energy**: -54.28 eV per cell
**Total moment**: 0.00 μB per cell
**V**: 123.5 Å³ per cell
**DOS(E_F)**: 5.4 states/eV per cell
**E above lowest polymorph**: 0.000 eV/atom

---

No. 3
## TbPu2ThAs4 (PBE)

Data for an optimized crystal structure of TbPu2ThAs4.

a b c (Å): 4.191 7.244 7.206
angles (deg): 109.60 90.00 90.00
Fractional coordinates of all 8 atoms:
Th (0.500, 0.500, 0.000)
As (0.000, 0.245, 0.745)
As (0.500, 0.249, 0.254)
Pu (0.000, 0.500, 0.500)
As (0.500, 0.751, 0.746)
Pu (0.500, 0.000, 0.500)
Tb (0.000, 0.000, 0.000)
As (0.000, 0.755, 0.255)

**Total energy**: -69.45 eV per cell
**Energy relative to the elements**: -1.2673 eV/atom
**Total moment**: 10.53 μB per cell
**V**: 206.1 Å³ per cell
**DOS(E_F)**: 21.2 states/eV per cell